No. 1
Material: TbErZnPd
Method: DFT, PBE
State: optimized geometry

Cell: 4.991 4.991 4.991 Å, 60.00 60.00 60.00°
Fractional positions:
Zn (0.000, 0.000, 0.000)
Tb (0.750, 0.750, 0.750)
Pd (0.500, 0.500, 0.500)
Er (0.250, 0.250, 0.250)

## Properties
Symmetry ... F-43m
Formation energy from the elements ... -2.436 eV/f.u.
Magnetic moment ... 0.00 μB per cell


No. 2
Material: NdYCd17
Method: DFT, PBE
State: optimized geometry

Cell: 7.669 7.669 7.669 Å, 82.11 82.11 82.11°
Fractional positions:
Nd (0.668, 0.668, 0.668)
Y (0.325, 0.325, 0.325)
Cd (0.301, 0.002, 0.696)
Cd (0.696, 0.301, 0.002)
Cd (0.002, 0.696, 0.301)
Cd (0.301, 0.696, 0.002)
Cd (0.002, 0.301, 0.696)
Cd (0.696, 0.002, 0.301)
Cd (0.346, 0.873, 0.346)
Cd (0.346, 0.346, 0.873)
Cd (0.873, 0.346, 0.346)
Cd (0.624, 0.204, 0.624)
Cd (0.624, 0.624, 0.204)
Cd (0.204, 0.624, 0.624)
Cd (0.979, 0.523, 0.979)
Cd (0.979, 0.979, 0.523)
Cd (0.523, 0.979, 0.979)
Cd (0.907, 0.907, 0.907)
Cd (0.104, 0.104, 0.104)

## Properties
Symmetry ... R3m
Formation energy from the elements ... -2.555 eV/f.u.
Magnetic moment ... 0.00 μB per cell


No. 3
Material: NdP2Pd6
Method: DFT, PBE
State: optimized geometry

Cell: 4.118 4.118 8.668 Å, 90.00 90.00 90.00°
Fractional positions:
Nd (0.000, 0.000, 0.000)
P (0.500, 0.500, 0.130)
P (0.500, 0.500, 0.870)
Pd (0.000, 0.500, 0.274)
Pd (0.500, 0.000, 0.274)
Pd (0.000, 0.500, 0.726)
Pd (0.500, 0.000, 0.726)
Pd (0.500, 0.500, 0.500)
Pd (0.000, 0.000, 0.500)

## Properties
Symmetry ... P4/mmm
Formation energy from the elements ... -5.602 eV/f.u.
Magnetic moment ... 0.00 μB per cell


No. 4
Material: MgAgRu2
Method: DFT, PBE
State: optimized geometry

Cell: 5.149 5.149 5.149 Å, 136.77 136.77 62.80°
Fractional positions:
Ag (0.250, 0.750, 0.500)
Mg (0.750, 0.250, 0.500)
Ru (0.000, 0.000, 0.000)
Ru (0.500, 0.500, 0.000)

## Properties
Symmetry ... I4/mmm
Formation energy from the elements ... 1.437 eV/f.u.
Magnetic moment ... 2.14 μB per cell